# GGA-PBE Ag2PdRuF8, relaxed
# - final energy (eV/atom) = -4.2782
# - spin magnetization (μB per cell) = 2.1
# - formation energy (no corrections) (meV per atom) = -1349.8
data_Ag2PdRuF8
_cell_length_a 4.999
_cell_length_b 5.308
_cell_length_c 7.211
_cell_angle_alpha 85.88
_cell_angle_beta 87.90
_cell_angle_gamma 85.78
_space_group_name_H-M_alt 'P -1'
_space_group_IT_number 2
_space_group_name_Hall '-P 1'
loop_
_atom_site_label
_atom_site_type_symbol
_atom_site_fract_x
_atom_site_fract_y
_atom_site_fract_z
_atom_site_occupancy
Ag1 Ag 0.035 0.007 0.249 1
Pd1 Pd 0.500 0.500 0.000 1
Ru1 Ru 0.500 0.500 0.500 1
F1 F 0.169 0.713 0.520 1
F2 F 0.197 0.767 0.001 1
F3 F 0.363 0.224 0.659 1
F4 F 0.377 0.366 0.267 1